1.
This record from the Alexandria database describes a geometry-optimized EuTlPbAu structure. The functional is GGA-PBE.

The structure belongs to space group F-43m (No. 216); the cell edges are 7.550, 7.550 and 7.550 Å and the angles 90.00°, 90.00° and 90.00°. The asymmetric unit holds Eu at (0.000, 0.000, 0.000), Tl at (0.250, 0.250, 0.250), Pb at (0.000, 0.000, 0.500) and Au at (0.250, 0.250, 0.750).

Its raw total energy is -5.285 eV per atom.

***

2.
This record from the Alexandria database describes a geometry-optimized EuYPbAu structure. The functional is GGA-PBE.

The structure belongs to space group F-43m (No. 216); the cell edges are 7.599, 7.599 and 7.599 Å and the angles 90.00°, 90.00° and 90.00°. The asymmetric unit holds Eu at (0.000, 0.000, 0.000), Y at (0.000, 0.000, 0.500), Pb at (0.250, 0.250, 0.750) and Au at (0.250, 0.250, 0.250).

Its raw total energy is -6.580 eV per atom.

***

3.
This record from the Alexandria database describes a geometry-optimized EuPdAu structure. The functional is GGA-PBE.

The structure belongs to space group F-43m (No. 216); the cell edges are 6.694, 6.694 and 6.694 Å and the angles 90.00°, 90.00° and 90.00°. The asymmetric unit holds Eu at (0.000, 0.000, 0.000), Pd at (0.250, 0.250, 0.250) and Au at (0.000, 0.000, 0.500).

The distance to the lowest polymorph of the same formula is 0.34 eV/f.u.

***

4.
This record from the Alexandria database describes a geometry-optimized EuPdAu4 structure. The functional is GGA-PBE.

The structure belongs to space group F-43m (No. 216); the cell edges are 7.865, 7.865 and 7.865 Å and the angles 90.00°, 90.00° and 90.00°. The asymmetric unit holds Eu at (0.000, 0.000, 0.000), Pd at (0.250, 0.250, 0.250) and Au at (0.124, 0.124, 0.624).

Its raw total energy is -5.197 eV per atom.

***

Taking the records one at a time from the top gives total magnetization values of 7.187; 7.203; 6.866; 6.903 μB per formula unit.